(1)
YHfTe2Br: optimized geometry, GGA-PBE.

Its uncorrected formation energy is 0.434 eV per atom.

It has space group P4/mmm (No. 123), with a = 5.643 Å, b = 5.643 Å, c = 5.968 Å, α = 90.00°, β = 90.00° and γ = 90.00°. The asymmetric unit holds Y at (0.000, 0.000, 0.000), Hf at (0.000, 0.000, 0.500), Te at (0.000, 0.500, 0.000) and Br at (0.500, 0.500, 0.500).

(2)
Ho2GeSb: optimized geometry, GGA-PBE.

Its uncorrected formation energy is -0.872 eV per atom. The value obtained for the energy above the most stable polymorph in this dataset is 0.23 eV per formula unit.

It has space group R-3m (No. 166, hexagonal axes), with a = 4.1671 Å, b = 4.1671 Å, c = 21.5799 Å, α = 90.00°, β = 90.00° and γ = 120.00°. The asymmetric unit holds Ho at (0.0000, 0.0000, 0.2448), Ge at (0.0000, 0.0000, 0.5000) and Sb at (0.0000, 0.0000, 0.0000).

(3)
CrFeW3: optimized geometry, GGA-PBE.

The calculation puts the formation enthalpy at 0 K at 1589 meV/atom. The value obtained for the energy above the most stable polymorph in this dataset is 0.00 eV per formula unit.

It has space group Pm-3m (No. 221), with a = 4.413 Å, b = 4.413 Å, c = 4.413 Å, α = 90.00°, β = 90.00° and γ = 90.00°. The asymmetric unit holds Cr at (0.000, 0.000, 0.000), Fe at (0.500, 0.500, 0.500) and W at (0.000, 0.500, 0.500).

(4)
YBeSb2H: optimized geometry, GGA-PBE.

The calculation puts the final energy at -4.478 eV/atom.

It has space group P4/mmm (No. 123), with a = 5.572 Å, b = 5.572 Å, c = 3.200 Å, α = 90.00°, β = 90.00° and γ = 90.00°. The asymmetric unit holds Y at (0.000, 0.000, 0.000), Be at (0.500, 0.500, 0.500), Sb at (0.000, 0.500, 0.500) and H at (0.500, 0.500, 0.000).

(5)
PaSn2Rh: optimized geometry, GGA-PBE.

The calculation puts the formation enthalpy at 0 K at -288 meV/atom. The value obtained for the energy above the most stable polymorph in this dataset is 0.14 eV per formula unit.

It has space group P4/mmm (No. 123), with a = 3.324 Å, b = 3.324 Å, c = 7.685 Å, α = 90.00°, β = 90.00° and γ = 90.00°. The asymmetric unit holds Pa at (0.000, 0.000, 0.000), Sn at (0.500, 0.500, 0.293) and Rh at (0.000, 0.000, 0.500).

(6)
CoRuW2: optimized geometry, GGA-PBE.

The calculation puts the formation enthalpy at 0 K at 75 meV/atom. The value obtained for the energy above the most stable polymorph in this dataset is 0.14 eV per formula unit.

It has space group Cmmm (No. 65), with a = 5.482 Å, b = 7.524 Å, c = 2.759 Å, α = 90.00°, β = 90.00° and γ = 90.00°. The asymmetric unit holds Co at (0.000, 0.000, 0.000), Ru at (0.000, 0.500, 0.000) and W at (0.250, 0.250, 0.500).

(7)
GaAgSbTe2: optimized geometry, GGA-PBE.

Its uncorrected formation energy is 0.477 eV per atom. The value obtained for the energy above the most stable polymorph in this dataset is 0.00 eV per formula unit.

It has space group P4/mmm (No. 123), with a = 5.610 Å, b = 5.610 Å, c = 5.232 Å, α = 90.00°, β = 90.00° and γ = 90.00°. The asymmetric unit holds Ga at (0.000, 0.000, 0.000), Ag at (0.500, 0.500, 0.500), Sb at (0.500, 0.500, 0.000) and Te at (0.000, 0.500, 0.500).

(8)
Cs3InHg6: optimized geometry, GGA-PBE.

The calculation puts the formation enthalpy at 0 K at -210 meV/atom.

It has space group R3m (No. 160, hexagonal axes), with a = 14.6771 Å, b = 14.6771 Å, c = 6.6494 Å, α = 90.00°, β = 90.00° and γ = 120.00°. The asymmetric unit holds Cs at (0.0002, 0.5001, 0.0000), In at (0.0000, 0.0000, 0.4984), Hg at (0.0887, 0.1773, 0.8348) and Hg at (0.1782, 0.0891, 0.1644).

| no. | density (g/cm3) | volume (Å³/atom) |
| --- | --- | --- |
| 1 | 5.26 | 38.01 |
| 2 | 8.05 | 27.04 |
| 3 | 12.74 | 17.19 |
| 4 | 5.72 | 19.87 |
| 5 | 11.18 | 21.22 |
| 6 | 15.40 | 14.23 |
| 7 | 5.59 | 32.93 |
| 8 | 6.90 | 41.35 |